Record 1
A plane-wave DFT calculation with PBE-GGA was carried out for a geometry-optimized CaGa3Te structure.

energy above the lowest structure with this stoichiometry	0	meV per atom

Cell lengths 5.5512, 5.5512, 5.5512 Å; angles 90.00, 90.00, 90.00 degrees
Space group Pm-3m (No. 221)
Asymmetric unit:
Ca: 0.0000 0.0000 0.0000 (multiplicity 1)
Ga: 0.0000 0.5000 0.5000 (multiplicity 3)
Te: 0.5000 0.5000 0.5000 (multiplicity 1)

Record 2
A plane-wave DFT calculation with PBE-GGA was carried out for a geometry-optimized CaGaTe2 structure.

Cell lengths 4.2492, 4.2492, 23.5223 Å; angles 90.00, 90.00, 120.00 degrees
Space group R3m (No. 160, hexagonal axes)
Asymmetric unit:
Ca: 0.0000 0.0000 0.0000 (multiplicity 3)
Ga: 0.0000 0.0000 0.8327 (multiplicity 3)
Te: 0.0000 0.0000 0.4192 (multiplicity 3)
Te: 0.0000 0.0000 0.5819 (multiplicity 3)

Record 3
A plane-wave DFT calculation with PBE-GGA was carried out for a geometry-optimized Ca2GaTe structure.

energy above the lowest structure with this stoichiometry	0	meV per atom

Cell lengths 5.3076, 5.3076, 3.9460 Å; angles 90.00, 90.00, 90.00 degrees
Space group P4/mmm (No. 123)
Asymmetric unit:
Ca: 0.0000 0.5000 0.0000 (multiplicity 2)
Ga: 0.0000 0.0000 0.5000 (multiplicity 1)
Te: 0.5000 0.5000 0.5000 (multiplicity 1)

Values for formation energy without anion corrections, meV/atom, ordered as above
326, -703, -755